Dy5Tm4Tl | PBE | relaxed

Results
The space-group type is No. 79. Its density of states at the Fermi level is 1.48 states/eV/atom. For the uncorrected energy, the calculation gives -4.09 eV per atom.

a b c (Å): 6.1445 7.8420 7.8420
angles (deg): 81.17 66.94 66.94
With the nearest neighbours (Å) after each atom.
Atoms (fractional coordinates):
Tm 0.4143 0.3937 0.6965  1 Tm 3.22, 4 Dy 3.23-3.48
Tm 0.8081 0.6965 0.6063  1 Tm 3.22, 4 Dy 3.23-3.48
Tm 0.5046 0.6063 0.3035  1 Tm 3.22, 4 Dy 3.23-3.48
Tm 0.1109 0.3035 0.3937  1 Tm 3.22, 4 Dy 3.23-3.48
Dy 0.1913 0.9166 0.6251  1 Tl 3.08, 2 Tm 3.23-3.25, 1 Dy 3.39
Dy 0.6439 0.0000 0.0000  1 Tl 2.85
Dy 0.8165 0.3749 0.9166  1 Tl 3.08, 2 Tm 3.23-3.25, 1 Dy 3.39
Dy 0.7331 0.0834 0.3749  1 Tl 3.08, 2 Tm 3.23-3.25, 1 Dy 3.39
Dy 0.1080 0.6251 0.0834  1 Tl 3.08, 2 Tm 3.23-3.25, 1 Dy 3.39
Tl 0.1796 0.0000 0.0000  5 Dy 2.85-3.08



DyTm4Tl5 | PBE | relaxed

Results
The space-group type is No. 123. Its density of states at the Fermi level is 0.76 states/eV/atom. For the uncorrected energy, the calculation gives -3.73 eV per atom.

a b c (Å): 3.7124 3.7124 19.3371
angles (deg): 90.00 90.00 90.00
With the nearest neighbours (Å) after each atom.
Atoms (fractional coordinates):
Tm 0.0000 0.0000 0.7981  8 Tl 3.25-3.26
Tm 0.0000 0.0000 0.5993  8 Tl 3.25
Tm 0.0000 0.0000 0.4007  8 Tl 3.25
Tm 0.0000 0.0000 0.2019  8 Tl 3.25-3.26
Tl 0.5000 0.5000 0.1026  4 Tm 3.25, 4 Dy 3.29
Tl 0.5000 0.5000 0.5000  8 Tm 3.25
Tl 0.5000 0.5000 0.6985  8 Tm 3.25-3.26
Tl 0.5000 0.5000 0.8974  4 Tm 3.25, 4 Dy 3.29
Tl 0.5000 0.5000 0.3015  8 Tm 3.25-3.26
Dy 0.0000 0.0000 0.0000  8 Tl 3.29



DyTmTl6 | PBE | relaxed

Results
The space-group type is No. 123. Its density of states at the Fermi level is 0.22 states/eV/atom. For the uncorrected energy, the calculation gives -3.12 eV per atom.

a b c (Å): 4.7557 4.7557 9.5138
angles (deg): 90.00 90.00 90.00
With the nearest neighbours (Å) after each atom.
Atoms (fractional coordinates):
Tl 0.0000 0.5000 0.7513  2 Tm 3.35, 8 Tl 3.35-3.37, 2 Dy 3.37
Tl 0.5000 0.5000 0.0000  8 Tl 3.35, 4 Tm 3.36
Tl 0.5000 0.0000 0.2487  8 Tl 3.35-3.37, 2 Tm 3.35, 2 Dy 3.37
Tl 0.5000 0.0000 0.7513  2 Tm 3.35, 8 Tl 3.35-3.37, 2 Dy 3.37
Tl 0.0000 0.5000 0.2487  8 Tl 3.35-3.37, 2 Tm 3.35, 2 Dy 3.37
Tl 0.5000 0.5000 0.5000  4 Dy 3.36, 8 Tl 3.37
Tm 0.0000 0.0000 0.0000  12 Tl 3.35-3.36
Dy 0.0000 0.0000 0.5000  12 Tl 3.36-3.37